Here is a relaxed BeSi crystal from Alexandria. Energies are from PBE.

Summary:
Magnetic moment in μB/atom: 0.00
Fermi-level density of states in states/eV/cell: 1.24

a = 3.635 Å, b = 3.635 Å, c = 3.635 Å
α = 60.00°, β = 60.00°, γ = 60.00°
Fractional coordinates of all 2 atoms:
Be1 0.000 0.000 0.000
Si1 0.250 0.250 0.250

Here is a relaxed Be3Si crystal from Alexandria. Energies are from PBE.

Summary:
Magnetic moment in μB/atom: 0.00
Fermi-level density of states in states/eV/cell: 4.23

a = 4.297 Å, b = 4.297 Å, c = 4.297 Å
α = 90.00°, β = 90.00°, γ = 90.00°
Fractional coordinates of all 8 atoms:
Be1 0.000 0.250 0.500
Be2 0.000 0.750 0.500
Be3 0.250 0.500 0.000
Be4 0.500 0.000 0.250
Be5 0.500 0.000 0.750
Be6 0.750 0.500 0.000
Si1 0.000 0.000 0.000
Si2 0.500 0.500 0.500

Formation energy without anion corrections list, top to bottom, in eV/atom: 0.882; 0.304